Entry 1:
## K2PuPaTe4 (PBE)

Data for crystalline K2PuPaTe4 at its relaxed geometry.

Unit cell a=4.5057 b=7.8530 c=8.6851 alpha=107.24 beta=90.00 gamma=90.00
Last column: nearest neighbours and their distance in Å.
Fractional positions:
1 K 0.0000 0.5000 0.5000  6 Te 3.55-3.58
2 K 0.5000 0.0000 0.5000  6 Te 3.50-3.52
3 Pu 0.5000 0.5000 0.0000  6 Te 3.17-3.18
4 Te 0.5000 0.7675 0.7877  2 Pa 3.13, 1 Pu 3.18, 1 K 3.50
5 Te 0.0000 0.7442 0.2119  1 Pa 3.10, 2 Pu 3.17
6 Te 0.0000 0.2558 0.7881  1 Pa 3.10, 2 Pu 3.17
7 Te 0.5000 0.2325 0.2123  2 Pa 3.13, 1 Pu 3.18, 1 K 3.50
8 Pa 0.0000 0.0000 0.0000  6 Te 3.10-3.13

Calculated values
Formation energy without anion corrections, eV/atom: -1.05
Total magnetization, μB/atom: 0.88
Mass density, g/cm³: 6.02
Calculated total energy, eV/atom: -5.871
SG: P2/m (10)
Crystal system: monoclinic

Entry 2:
## K2PuPa2Te6 (PBE)

Data for crystalline K2PuPa2Te6 at its relaxed geometry.

Unit cell a=7.6922 b=7.6922 c=8.8577 alpha=98.18 beta=98.18 gamma=120.17
Last column: nearest neighbours and their distance in Å.
Fractional positions:
1 Pa 0.6669 0.3331 0.5000  6 Te 3.09-3.11
2 Pa 0.3331 0.6669 0.5000  6 Te 3.09-3.11
3 Te 0.0705 0.4095 0.7098  2 Pa 3.09-3.11, 1 Pu 3.16
4 Te 0.9295 0.5905 0.2902  2 Pa 3.09-3.11, 1 Pu 3.16
5 Te 0.2742 0.2742 0.2902  2 Pa 3.09, 1 Pu 3.18
6 Te 0.5905 0.9295 0.2902  2 Pa 3.09-3.11, 1 Pu 3.16
7 Te 0.7258 0.7258 0.7098  2 Pa 3.09, 1 Pu 3.18
8 Te 0.4095 0.0705 0.7098  2 Pa 3.09-3.11, 1 Pu 3.16
9 K 0.8358 0.1642 0.0000  6 Te 3.55-3.57
10 K 0.1642 0.8358 0.0000  6 Te 3.55-3.57
11 Pu 0.0000 0.0000 0.5000  6 Te 3.16-3.18

Calculated values
Formation energy without anion corrections, eV/atom: -0.99
Total magnetization, μB/atom: 0.73
Mass density, g/cm³: 5.93
Calculated total energy, eV/atom: -5.933
SG: C2/m (12)
Crystal system: monoclinic

Entry 3:
## K4PuPa3Te8 (PBE)

Data for crystalline K4PuPa3Te8 at its relaxed geometry.

Unit cell a=8.9160 b=9.8613 c=8.9162 alpha=116.88 beta=120.00 gamma=90.00
Last column: nearest neighbours and their distance in Å.
Fractional positions:
1 Te 0.7597 0.2859 0.0261  2 Pa 3.13, 1 Pu 3.17, 1 K 3.50
2 Te 0.2403 0.7141 0.9739  2 Pa 3.13, 1 Pu 3.17, 1 K 3.50
3 Te 0.7337 0.7141 0.9739  2 Pa 3.13, 1 Pu 3.17, 1 K 3.50
4 Te 0.2403 0.7142 0.4805  2 Pa 3.13, 1 Pu 3.17, 1 K 3.50
5 Te 0.2663 0.2859 0.0261  2 Pa 3.13, 1 Pu 3.17, 1 K 3.50
6 Te 0.7597 0.2858 0.5195  2 Pa 3.13, 1 Pu 3.17, 1 K 3.50
7 Te 0.2617 0.2851 0.5233  3 Pa 3.15, 3 K 3.52
8 Te 0.7383 0.7149 0.4767  3 Pa 3.15, 3 K 3.52
9 K 0.0000 0.0000 0.5000  6 Te 3.52-3.53
10 K 0.0000 0.0000 0.0000  6 Te 3.52-3.53
11 K 0.5000 0.0000 0.0000  6 Te 3.50
12 K 0.5000 0.0000 0.5000  6 Te 3.52-3.53
13 Pu 0.0000 0.5000 0.0000  6 Te 3.17
14 Pa 0.5000 0.5000 0.5000  6 Te 3.13-3.15
15 Pa 0.0000 0.5000 0.5000  6 Te 3.13-3.15
16 Pa 0.5000 0.5000 0.0000  6 Te 3.13-3.15

Calculated values
Formation energy without anion corrections, eV/atom: -0.99
Total magnetization, μB/atom: 0.69
Mass density, g/cm³: 6.06
Calculated total energy, eV/atom: -5.507
SG: R-3m (166)
Crystal system: trigonal

Entry 4:
## K3Pu3PaTe8 (PBE)

Data for crystalline K3Pu3PaTe8 at its relaxed geometry.

Unit cell a=9.0751 b=9.0927 c=9.8297 alpha=117.52 beta=90.00 gamma=119.94
Last column: nearest neighbours and their distance in Å.
Fractional positions:
1 Te 0.7708 0.0244 0.2949  1 Pa 3.05, 2 Pu 3.17
2 Te 0.2535 0.0244 0.2949  1 Pa 3.05, 2 Pu 3.17
3 Te 0.2626 0.5252 0.2898  3 Pu 3.15-3.17
4 Te 0.7706 0.5412 0.2960  1 Pa 3.06, 2 Pu 3.16
5 Te 0.2292 0.9756 0.7051  1 Pa 3.05, 2 Pu 3.17
6 Te 0.7465 0.9756 0.7051  1 Pa 3.05, 2 Pu 3.17
7 Te 0.7374 0.4748 0.7102  3 Pu 3.15-3.17
8 Te 0.2294 0.4588 0.7040  1 Pa 3.06, 2 Pu 3.16
9 Pu 0.5000 0.0000 0.5000  6 Te 3.17
10 Pu 0.5000 0.5000 0.5000  6 Te 3.15-3.17
11 Pu 0.0000 0.5000 0.5000  6 Te 3.15-3.17
12 K 0.5000 0.5000 0.0000  6 Te 3.56
13 K 0.0000 0.0000 0.0000  6 Te 3.56
14 K 0.0000 0.5000 0.0000  6 Te 3.56
15 Pa 0.0000 0.0000 0.5000  6 Te 3.05-3.06

Calculated values
Formation energy without anion corrections, eV/atom: -1.05
Total magnetization, μB/atom: 0.36
Mass density, g/cm³: 5.87
Calculated total energy, eV/atom: -6.447
SG: C2/m (12)
Crystal system: monoclinic

Entry 5:
## K3PuPa3Te8 (PBE)

Data for crystalline K3PuPa3Te8 at its relaxed geometry.

Unit cell a=8.8468 b=8.8465 c=9.8978 alpha=116.55 beta=90.00 gamma=120.00
Last column: nearest neighbours and their distance in Å.
Fractional positions:
1 Te 0.2414 0.4829 0.7118  2 Pa 3.10, 1 Pu 3.17
2 Te 0.7289 0.9704 0.7118  2 Pa 3.10, 1 Pu 3.17
3 Te 0.2414 0.9704 0.7118  2 Pa 3.10, 1 Pu 3.17
4 Te 0.7381 0.4762 0.7144  3 Pa 3.13
5 Te 0.7586 0.0296 0.2882  2 Pa 3.10, 1 Pu 3.17
6 Te 0.7586 0.5171 0.2882  2 Pa 3.10, 1 Pu 3.17
7 Te 0.2711 0.0296 0.2882  2 Pa 3.10, 1 Pu 3.17
8 Te 0.2619 0.5238 0.2856  3 Pa 3.13
9 K 0.0000 0.0000 0.0000  6 Te 3.52-3.56
10 K 0.5000 0.5000 0.0000  6 Te 3.52-3.56
11 K 0.0000 0.5000 0.0000  6 Te 3.52-3.56
12 Pa 0.5000 0.0000 0.5000  6 Te 3.10-3.13
13 Pa 0.0000 0.5000 0.5000  6 Te 3.10-3.13
14 Pa 0.5000 0.5000 0.5000  6 Te 3.10-3.13
15 Pu 0.0000 0.0000 0.5000  6 Te 3.17

Calculated values
Formation energy without anion corrections, eV/atom: -0.97
Total magnetization, μB/atom: 0.67
Mass density, g/cm³: 6.00
Calculated total energy, eV/atom: -5.719
SG: R-3m (166)
Crystal system: trigonal

Entry 6:
## KRb2PaS4 (PBE)

Data for crystalline KRb2PaS4 at its relaxed geometry.

Unit cell a=4.2612 b=7.7442 c=7.9800 alpha=108.56 beta=90.00 gamma=90.00
Last column: nearest neighbours and their distance in Å.
Fractional positions:
1 S 0.0000 0.2062 0.8055  1 Pa 2.56
2 S 0.0000 0.7938 0.1945  1 Pa 2.56
3 S 0.5000 0.8036 0.8085  2 Pa 2.78
4 S 0.5000 0.1964 0.1915  2 Pa 2.78
5 Rb 0.5000 0.0000 0.5000  6 S 3.25-3.28
6 Rb 0.0000 0.5000 0.5000  6 S 3.53-3.83
7 Pa 0.0000 0.0000 0.0000  6 S 2.56-2.78
8 K 0.5000 0.5000 0.0000  6 S 3.14-3.19

Calculated values
Formation energy without anion corrections, eV/atom: -1.46
Total magnetization, μB/atom: 0.00
Mass density, g/cm³: 3.79
Calculated total energy, eV/atom: -5.092
SG: P2/m (10)
Crystal system: monoclinic

Entry 7:
## K2RbPa3S8 (PBE)

Data for crystalline K2RbPa3S8 at its relaxed geometry.

Unit cell a=8.2998 b=8.2998 c=9.0718 alpha=62.78 beta=62.78 gamma=60.00
Last column: nearest neighbours and their distance in Å.
Fractional positions:
1 Rb 0.8671 0.8671 0.3987  4 S 3.15-3.24
2 Pa 0.0002 0.4995 0.0007  6 S 2.67-2.79
3 Pa 0.4995 0.0002 0.0007  6 S 2.67-2.79
4 Pa 0.4995 0.4995 0.0007  6 S 2.67-2.79
5 S 0.7270 0.7270 0.8190  3 Pa 2.78
6 S 0.6920 0.2462 0.8156  2 Pa 2.69
7 S 0.2708 0.2708 0.1877  3 Pa 2.79
8 S 0.7525 0.3110 0.1840  2 Pa 2.67
9 S 0.2462 0.6920 0.8156  2 Pa 2.69
10 S 0.7525 0.7525 0.1840  2 Pa 2.67
11 S 0.2462 0.2462 0.8156  2 Pa 2.69
12 S 0.3110 0.7525 0.1840  2 Pa 2.67
13 K 0.1284 0.1284 0.6147  4 S 3.07-3.29
14 K 0.4997 0.4997 0.5008  6 S 3.23

Calculated values
Formation energy without anion corrections, eV/atom: -1.54
Total magnetization, μB/atom: 0.15
Mass density, g/cm³: 4.02
Calculated total energy, eV/atom: -6.158
SG: R3m (160)
Crystal system: trigonal

Entry 8:
## K2RbPaS4 (PBE)

Data for crystalline K2RbPaS4 at its relaxed geometry.

Unit cell a=4.2547 b=7.7354 c=7.9758 alpha=69.19 beta=90.00 gamma=90.00
Last column: nearest neighbours and their distance in Å.
Fractional positions:
1 Pa 0.0000 0.5000 0.5000  6 S 2.54-2.79
2 S 0.5000 0.2958 0.6994  2 Pa 2.79
3 S 0.0000 0.2971 0.3092  1 Pa 2.54
4 S 0.5000 0.7042 0.3006  2 Pa 2.79
5 S 0.0000 0.7029 0.6908  1 Pa 2.54
6 K 0.5000 0.0000 0.5000  6 S 3.10-3.22
7 K 0.0000 0.0000 0.0000  4 S 3.41
8 Rb 0.5000 0.5000 0.0000  6 S 3.21-3.31

Calculated values
Formation energy without anion corrections, eV/atom: -1.45
Total magnetization, μB/atom: 0.00
Mass density, g/cm³: 3.54
Calculated total energy, eV/atom: -5.100
SG: P2/m (10)
Crystal system: monoclinic

Entry 9:
## K2RbPa3Se8 (PBE)

Data for crystalline K2RbPa3Se8 at its relaxed geometry.

Unit cell a=8.6179 b=8.6179 c=9.4884 alpha=62.99 beta=62.99 gamma=60.00
Last column: nearest neighbours and their distance in Å.
Fractional positions:
1 K 0.1306 0.1306 0.6083  4 Se 3.19-3.36
2 K 0.4997 0.4997 0.5009  6 Se 3.38
3 Pa 0.4993 0.4993 0.0008  6 Se 2.81-2.93
4 Pa 0.4993 0.0005 0.0008  6 Se 2.81-2.93
5 Pa 0.0005 0.4993 0.0008  6 Se 2.81-2.93
6 Rb 0.8654 0.8654 0.4038  4 Se 3.26-3.32
7 Se 0.7283 0.7283 0.8151  3 Pa 2.91
8 Se 0.2691 0.2691 0.1926  3 Pa 2.93
9 Se 0.2452 0.2452 0.8128  2 Pa 2.82
10 Se 0.6968 0.2452 0.8128  2 Pa 2.82
11 Se 0.7535 0.3062 0.1868  2 Pa 2.81
12 Se 0.7535 0.7535 0.1868  2 Pa 2.81
13 Se 0.3062 0.7535 0.1868  2 Pa 2.81
14 Se 0.2452 0.6968 0.8128  2 Pa 2.82

Calculated values
Formation energy without anion corrections, eV/atom: -1.36
Total magnetization, μB/atom: 0.15
Mass density, g/cm³: 4.76
Calculated total energy, eV/atom: -5.610
SG: R3m (160)
Crystal system: trigonal

Entry 10:
## KRb2Pa3Se8 (PBE)

Data for crystalline KRb2Pa3Se8 at its relaxed geometry.

Unit cell a=8.6022 b=8.6022 c=9.6198 alpha=63.44 beta=63.44 gamma=60.00
Last column: nearest neighbours and their distance in Å.
Fractional positions:
1 Rb 0.4991 0.4991 0.5028  6 Se 3.46
2 Rb 0.1344 0.1344 0.5968  4 Se 3.29-3.38
3 Pa 0.4996 0.4996 0.0023  6 Se 2.81-2.93
4 Pa 0.9984 0.4996 0.0023  6 Se 2.81-2.93
5 Pa 0.4996 0.9984 0.0023  6 Se 2.81-2.93
6 Se 0.7569 0.7569 0.1856  2 Pa 2.82
7 Se 0.2418 0.2418 0.8214  2 Pa 2.81
8 Se 0.7292 0.7292 0.8123  3 Pa 2.93
9 Se 0.2711 0.2711 0.1868  3 Pa 2.92
10 Se 0.7569 0.3007 0.1856  2 Pa 2.82
11 Se 0.3007 0.7569 0.1856  2 Pa 2.82
12 Se 0.6949 0.2418 0.8214  2 Pa 2.81
13 Se 0.2418 0.6949 0.8214  2 Pa 2.81
14 K 0.8683 0.8683 0.3952  4 Se 3.21-3.44

Calculated values
Formation energy without anion corrections, eV/atom: -1.36
Total magnetization, μB/atom: 0.15
Mass density, g/cm³: 4.83
Calculated total energy, eV/atom: -5.598
SG: R3m (160)
Crystal system: trigonal

Question: Among the records above, which one has the highest calculated total energy?
Answer: KRb2PaS4

What did the eighth record say?
## K2RbPaS4 (PBE)

Data for crystalline K2RbPaS4 at its relaxed geometry.

Unit cell a=4.2547 b=7.7354 c=7.9758 alpha=69.19 beta=90.00 gamma=90.00
Last column: nearest neighbours and their distance in Å.
Fractional positions:
1 Pa 0.0000 0.5000 0.5000  6 S 2.54-2.79
2 S 0.5000 0.2958 0.6994  2 Pa 2.79
3 S 0.0000 0.2971 0.3092  1 Pa 2.54
4 S 0.5000 0.7042 0.3006  2 Pa 2.79
5 S 0.0000 0.7029 0.6908  1 Pa 2.54
6 K 0.5000 0.0000 0.5000  6 S 3.10-3.22
7 K 0.0000 0.0000 0.0000  4 S 3.41
8 Rb 0.5000 0.5000 0.0000  6 S 3.21-3.31

Calculated values
Formation energy without anion corrections, eV/atom: -1.45
Total magnetization, μB/atom: 0.00
Mass density, g/cm³: 3.54
Calculated total energy, eV/atom: -5.100
SG: P2/m (10)
Crystal system: monoclinic

Question: formation energy without anion corrections of number 10 (KRb2Pa3Se8)?
Answer: -1.36 eV/atom